Density functional theory data (PBE-GGA) for crystalline Ti3BiH at its relaxed geometry.

abc: 4.815 5.555 5.860
angles: 90.00 90.71 90.00
Positions (direct):
Ti: 0.000 0.000 0.000
Ti: 0.000 0.500 0.000
Ti: 0.004 0.250 0.544
Ti: 0.496 0.250 0.307
Ti: 0.504 0.750 0.693
Ti: 0.996 0.750 0.456
Bi: 0.496 0.750 0.198
Bi: 0.504 0.250 0.802
H: 0.112 0.250 0.223
H: 0.888 0.750 0.777

Total magnetic moment (μB per cell): 0.00

---

Density functional theory data (PBE-GGA) for crystalline Ti3Bi2H2 at its relaxed geometry.

abc: 3.285 3.975 9.562
angles: 78.02 80.17 89.99
Positions (direct):
Ti: 0.000 0.000 0.000
Ti: 0.414 0.413 0.174
Ti: 0.586 0.587 0.826
Bi: 0.164 0.165 0.670
Bi: 0.836 0.835 0.330
H: 0.500 0.250 0.000
H: 0.500 0.750 0.000

Total magnetic moment (μB per cell): 0.00

---

Density functional theory data (PBE-GGA) for crystalline Ti2BiH at its relaxed geometry.

abc: 4.599 4.599 4.599
angles: 60.00 60.00 60.00
Positions (direct):
Ti: 0.250 0.250 0.250
Ti: 0.750 0.750 0.750
Bi: 0.000 0.000 0.000
H: 0.500 0.500 0.500

Total magnetic moment (μB per cell): 0.00

---

Density functional theory data (PBE-GGA) for crystalline Ti4Bi5H at its relaxed geometry.

abc: 8.485 8.485 7.994
angles: 99.38 99.38 23.40
Positions (direct):
Ti: 0.017 0.017 0.329
Ti: 0.390 0.390 0.417
Ti: 0.610 0.610 0.583
Ti: 0.983 0.983 0.671
Bi: 0.156 0.156 0.886
Bi: 0.195 0.195 0.345
Bi: 0.500 0.500 0.000
Bi: 0.805 0.805 0.655
Bi: 0.844 0.844 0.114
H: 0.500 0.500 0.500

Total magnetic moment (μB per cell): 0.00

---

Values for DFT total energy, eV per cell, ordered as above
-63.01 -40.11 -21.47 -54.83